Record 1
Cs8K3 | PBE | optimized geometry

Formation enthalpy at 0 K (eV per atom): 0.006
Symmetry: C2/m, No. 12
Volume (Å³/atom): 102.19
Density of states at the Fermi level (states/eV per atom): 1.0880

a = 8.3643 Å, b = 9.8050 Å, c = 15.1852 Å
α = 93.28°, β = 90.00°, γ = 115.25°
Closest atoms and distances in Å follow each position.
Element x y z (fractional)
Cs 0.7432 0.4865 0.1016  2 K 4.90-4.96, 6 Cs 5.14-5.35
Cs 0.2568 0.5135 0.8984  2 K 4.90-4.96, 6 Cs 5.14-5.35
Cs 0.5471 0.0942 0.8213  4 K 5.08-5.21, 6 Cs 5.31-5.67
Cs 0.4529 0.9058 0.1787  4 K 5.08-5.21, 6 Cs 5.31-5.67
Cs 0.8345 0.6690 0.7300  2 K 4.85-4.89, 6 Cs 5.12-5.37
Cs 0.1655 0.3310 0.2700  2 K 4.85-4.89, 6 Cs 5.12-5.37
Cs 0.6399 0.2798 0.4657  3 K 4.95-5.11, 5 Cs 5.12-5.31
Cs 0.3601 0.7202 0.5343  3 K 4.95-5.11, 5 Cs 5.12-5.31
K 0.0000 0.0000 0.0000  8 Cs 4.89-5.08
K 0.9125 0.8251 0.3748  1 K 4.75, 7 Cs 4.85-5.21
K 0.0875 0.1749 0.6252  1 K 4.75, 7 Cs 4.85-5.21

---

Record 2
CsK | PBE | optimized geometry

Formation enthalpy at 0 K (eV per atom): 0.054
E above lowest polymorph (meV per atom): 49
Symmetry: P6_3/m, No. 176
Volume (Å³/atom): 102.93
Density of states at the Fermi level (states/eV per atom): 0.9843

a = 13.5979 Å, b = 13.5979 Å, c = 7.7137 Å
α = 90.00°, β = 90.00°, γ = 120.00°
Closest atoms and distances in Å follow each position.
Element x y z (fractional)
Cs 0.5367 0.6346 0.2500  4 K 4.93-5.03, 4 Cs 5.06-5.21
Cs 0.9021 0.5367 0.7500  4 K 4.93-5.03, 4 Cs 5.06-5.21
Cs 0.3654 0.9021 0.2500  4 K 4.93-5.03, 4 Cs 5.06-5.21
Cs 0.4633 0.3654 0.7500  4 K 4.93-5.03, 4 Cs 5.06-5.21
Cs 0.0979 0.4633 0.2500  4 K 4.93-5.03, 4 Cs 5.06-5.21
Cs 0.6346 0.0979 0.7500  4 K 4.93-5.03, 4 Cs 5.06-5.21
K 0.8318 0.0496 0.2500  6 K 4.66-4.70, 4 Cs 4.93-5.03
K 0.7823 0.8318 0.7500  6 K 4.66-4.70, 4 Cs 4.93-5.03
K 0.9504 0.7823 0.2500  6 K 4.66-4.70, 4 Cs 4.93-5.03
K 0.1682 0.9504 0.7500  6 K 4.66-4.70, 4 Cs 4.93-5.03
K 0.2177 0.1682 0.2500  6 K 4.66-4.70, 4 Cs 4.93-5.03
K 0.0496 0.2177 0.7500  6 K 4.66-4.70, 4 Cs 4.93-5.03

---

Record 3
CsK8 | PBE | optimized geometry

Formation enthalpy at 0 K (eV per atom): 0.006
Symmetry: I4/mmm, No. 139
Volume (Å³/atom): 76.28
Density of states at the Fermi level (states/eV per atom): 0.7584

a = 6.8713 Å, b = 10.5696 Å, c = 10.5696 Å
α = 83.93°, β = 71.03°, γ = 71.03°
Closest atoms and distances in Å follow each position.
Element x y z (fractional)
Cs 0.0000 0.0000 0.0000  12 K 4.80-4.87
K 0.6729 0.0000 0.6542  10 K 4.62-4.89, 2 Cs 4.87
K 0.3271 0.0000 0.3458  10 K 4.62-4.89, 2 Cs 4.87
K 0.0000 0.3393 0.6607  11 K 4.54-4.83, 1 Cs 4.80
K 0.3271 0.3458 0.0000  10 K 4.62-4.89, 2 Cs 4.87
K 0.6607 0.3393 0.3393  11 K 4.54-4.83, 1 Cs 4.80
K 0.6729 0.6542 0.0000  10 K 4.62-4.89, 2 Cs 4.87
K 0.0000 0.6607 0.3393  11 K 4.54-4.83, 1 Cs 4.80
K 0.3393 0.6607 0.6607  11 K 4.54-4.83, 1 Cs 4.80

---

Record 4
CsK | PBE | optimized geometry

Formation enthalpy at 0 K (eV per atom): 0.212
E above lowest polymorph (meV per atom): 207
Symmetry: I-43m, No. 217
Volume (Å³/atom): 179.57
Density of states at the Fermi level (states/eV per atom): 0.6296

a = 14.2162 Å, b = 14.2162 Å, c = 14.2162 Å
α = 90.00°, β = 90.00°, γ = 90.00°
Closest atoms and distances in Å follow each position.
Element x y z (fractional)
Cs 0.2970 0.2970 0.2970  4 K 4.57-4.83
Cs 0.2970 0.7030 0.7030  4 K 4.57-4.83
Cs 0.7030 0.2970 0.7030  4 K 4.57-4.83
Cs 0.7030 0.7030 0.2970  4 K 4.57-4.83
Cs 0.7970 0.7970 0.7970  4 K 4.57-4.83
Cs 0.7970 0.2030 0.2030  4 K 4.57-4.83
Cs 0.2030 0.7970 0.2030  4 K 4.57-4.83
Cs 0.2030 0.2030 0.7970  4 K 4.57-4.83
K 0.1114 0.1114 0.1114  3 K 4.48, 4 Cs 4.57-4.83
K 0.1114 0.8886 0.8886  3 K 4.48, 4 Cs 4.57-4.83
K 0.8886 0.1114 0.8886  3 K 4.48, 4 Cs 4.57-4.83
K 0.8886 0.8886 0.1114  3 K 4.48, 4 Cs 4.57-4.83
K 0.6114 0.6114 0.6114  3 K 4.48, 4 Cs 4.57-4.83
K 0.6114 0.3886 0.3886  3 K 4.48, 4 Cs 4.57-4.83
K 0.3886 0.6114 0.3886  3 K 4.48, 4 Cs 4.57-4.83
K 0.3886 0.3886 0.6114  3 K 4.48, 4 Cs 4.57-4.83

---

Record 5
Cs3K4 | PBE | optimized geometry

Formation enthalpy at 0 K (eV per atom): 0.012
Symmetry: Immm, No. 71
Volume (Å³/atom): 89.79
Density of states at the Fermi level (states/eV per atom): 0.8917

a = 7.8591 Å, b = 4.9267 Å, c = 16.8827 Å
α = 98.39°, β = 103.46°, γ = 90.00°
Closest atoms and distances in Å follow each position.
Element x y z (fractional)
Cs 0.5000 0.0000 0.0000  2 Cs 4.93, 12 K 5.15-5.18
Cs 0.2053 0.2053 0.4106  6 Cs 4.93-5.47, 7 K 5.01-5.10
Cs 0.7947 0.7947 0.5894  6 Cs 4.93-5.47, 7 K 5.01-5.10
K 0.0691 0.5691 0.1383  5 K 4.49-4.93
K 0.9309 0.4309 0.8617  5 K 4.49-4.93
K 0.6402 0.6402 0.2805  4 K 4.56-4.93, 5 Cs 5.01-5.10
K 0.3598 0.3598 0.7195  4 K 4.56-4.93, 5 Cs 5.01-5.10

---

Record 6
CsK6 | PBE | optimized geometry

Formation enthalpy at 0 K (eV per atom): 0.218
E above lowest polymorph (meV per atom): 197
Symmetry: Im-3m, No. 229
Volume (Å³/atom): 102.19
Density of states at the Fermi level (states/eV per atom): 0.9396

a = 9.7582 Å, b = 9.7582 Å, c = 9.7582 Å
α = 109.47°, β = 109.47°, γ = 109.47°
Closest atoms and distances in Å follow each position.
Element x y z (fractional)
Cs 0.0000 0.0000 0.0000  none within 6
K 0.2500 0.7500 0.5000  4 K 3.98
K 0.5000 0.7500 0.2500  4 K 3.98
K 0.2500 0.5000 0.7500  4 K 3.98
K 0.7500 0.2500 0.5000  4 K 3.98
K 0.5000 0.2500 0.7500  4 K 3.98
K 0.7500 0.5000 0.2500  4 K 3.98

---

Record 7
Cs3K7 | PBE | optimized geometry

Formation enthalpy at 0 K (eV per atom): 0.012
E above lowest polymorph (meV per atom): 0
Symmetry: C2/m, No. 12
Volume (Å³/atom): 83.97
Density of states at the Fermi level (states/eV per atom): 0.9702

a = 6.9200 Å, b = 9.8900 Å, c = 13.0168 Å
α = 101.66°, β = 105.41°, γ = 90.00°
Closest atoms and distances in Å follow each position.
Element x y z (fractional)
Cs 0.0000 0.0000 0.0000  12 K 4.87-4.95
Cs 0.8015 0.3915 0.6030  10 K 4.82-5.08, 2 Cs 5.06
Cs 0.1985 0.6085 0.3970  10 K 4.82-5.08, 2 Cs 5.06
K 0.0000 0.5000 0.0000  8 K 4.82-4.96, 4 Cs 4.87-4.95
K 0.8015 0.9042 0.6029  7 K 4.80-5.03, 5 Cs 4.82-5.07
K 0.1985 0.0958 0.3971  7 K 4.80-5.03, 5 Cs 4.82-5.07
K 0.5947 0.3052 0.1894  7 K 4.82-5.03, 5 Cs 4.87-5.08
K 0.4053 0.6948 0.8106  7 K 4.82-5.03, 5 Cs 4.87-5.08
K 0.6019 0.8090 0.2039  8 K 4.80-4.96, 4 Cs 4.88-4.91
K 0.3981 0.1910 0.7961  8 K 4.80-4.96, 4 Cs 4.88-4.91

---

Record 8
Cs7K | PBE | optimized geometry

Formation enthalpy at 0 K (eV per atom): 0.008
Symmetry: Fm-3m, No. 225
Volume (Å³/atom): 110.25
Density of states at the Fermi level (states/eV per atom): 1.3375

a = 10.7645 Å, b = 10.7645 Å, c = 10.7645 Å
α = 60.00°, β = 60.00°, γ = 60.00°
Closest atoms and distances in Å follow each position.
Element x y z (fractional)
Cs 0.5000 0.5000 0.0000  10 Cs 5.38, 2 K 5.38
Cs 0.5000 0.0000 0.5000  2 K 5.38, 10 Cs 5.38
Cs 0.0000 0.5000 0.5000  10 Cs 5.38, 2 K 5.38
Cs 0.5000 0.0000 0.0000  10 Cs 5.38, 2 K 5.38
Cs 0.0000 0.5000 0.0000  10 Cs 5.38, 2 K 5.38
Cs 0.0000 0.0000 0.5000  10 Cs 5.38, 2 K 5.38
Cs 0.5000 0.5000 0.5000  12 Cs 5.38
K 0.0000 0.0000 0.0000  12 Cs 5.38

---

Record 9
Cs2K5 | PBE | optimized geometry

Formation enthalpy at 0 K (eV per atom): 0.014
E above lowest polymorph (meV per atom): 10
Symmetry: R-3m, No. 166
Volume (Å³/atom): 82.40
Density of states at the Fermi level (states/eV per atom): 1.0211

a = 7.7219 Å, b = 7.7219 Å, c = 12.0266 Å
α = 71.27°, β = 71.27°, γ = 60.00°
Closest atoms and distances in Å follow each position.
Element x y z (fractional)
Cs 0.6400 0.6400 0.0802  5 K 4.69-5.04, 3 Cs 4.80
Cs 0.3600 0.3600 0.9198  5 K 4.69-5.04, 3 Cs 4.80
K 0.0757 0.0757 0.7730  4 K 4.49-4.74, 3 Cs 4.75
K 0.7904 0.7904 0.6288  7 K 4.49-4.74
K 0.5000 0.5000 0.5000  6 K 4.68, 2 Cs 4.69
K 0.2096 0.2096 0.3712  7 K 4.49-4.74
K 0.9243 0.9243 0.2270  4 K 4.49-4.74, 3 Cs 4.75

---

Record 10
CsK | PBE | optimized geometry

Formation enthalpy at 0 K (eV per atom): 0.038
E above lowest polymorph (meV per atom): 34
Symmetry: I4/m, No. 87
Volume (Å³/atom): 96.68
Density of states at the Fermi level (states/eV per atom): 0.9692

a = 17.8232 Å, b = 17.8232 Å, c = 4.8697 Å
α = 90.00°, β = 90.00°, γ = 90.00°
Closest atoms and distances in Å follow each position.
Element x y z (fractional)
Cs 0.3815 0.3288 0.0000  4 K 4.75-5.10, 4 Cs 4.87-5.25
Cs 0.6185 0.6712 0.0000  4 K 4.75-5.10, 4 Cs 4.87-5.25
Cs 0.6712 0.3815 0.0000  4 K 4.75-5.10, 4 Cs 4.87-5.25
Cs 0.3288 0.6185 0.0000  4 K 4.75-5.10, 4 Cs 4.87-5.25
Cs 0.8815 0.8288 0.5000  4 K 4.75-5.10, 4 Cs 4.87-5.25
Cs 0.1185 0.1712 0.5000  4 K 4.75-5.10, 4 Cs 4.87-5.25
Cs 0.1712 0.8815 0.5000  4 K 4.75-5.10, 4 Cs 4.87-5.25
Cs 0.8288 0.1185 0.5000  4 K 4.75-5.10, 4 Cs 4.87-5.25
K 0.4220 0.8683 0.0000  6 K 4.56-4.87, 4 Cs 4.75-5.10
K 0.5780 0.1317 0.0000  6 K 4.56-4.87, 4 Cs 4.75-5.10
K 0.1317 0.4220 0.0000  6 K 4.56-4.87, 4 Cs 4.75-5.10
K 0.8683 0.5780 0.0000  6 K 4.56-4.87, 4 Cs 4.75-5.10
K 0.9220 0.3683 0.5000  6 K 4.56-4.87, 4 Cs 4.75-5.10
K 0.0780 0.6317 0.5000  6 K 4.56-4.87, 4 Cs 4.75-5.10
K 0.6317 0.9220 0.5000  6 K 4.56-4.87, 4 Cs 4.75-5.10
K 0.3683 0.0780 0.5000  6 K 4.56-4.87, 4 Cs 4.75-5.10